Entry 1:
{"formula": "AcNd3Ir2", "functional": "PBE", "state": "optimized geometry", "lattice_angstrom": [[8.555, -2.210, 0.000], [8.555, 2.210, 0.000], [-5.353, 0.000, 10.165]], "species": ["Ac", "Ac", "Nd", "Nd", "Nd", "Nd", "Nd", "Nd", "Ir", "Ir", "Ir", "Ir"], "frac_coords": [[0.055, 0.055, 0.220], [0.945, 0.945, 0.780], [0.215, 0.215, 0.595], [0.327, 0.327, 0.973], [0.423, 0.423, 0.334], [0.577, 0.577, 0.666], [0.673, 0.673, 0.027], [0.785, 0.785, 0.405], [0.137, 0.137, 0.845], [0.381, 0.381, 0.573], [0.619, 0.619, 0.427], [0.863, 0.863, 0.155]], "rho_g_cm3": 9.02, "energy_ev_per_atom": -6.567, "dos_ef_per_ev_fu": 4.813, "space_group": "C2/m (12)", "e_form_ev_per_atom": -0.545, "vol_a3_per_cell": 384}


Entry 2:
{"formula": "LaCe3Ho2Se6", "functional": "PBE", "state": "optimized geometry", "lattice_angstrom": [[3.603, -6.248, 0.000], [3.603, 6.248, 0.000], [-2.412, 0.000, 6.858]], "species": ["La", "Ce", "Ce", "Ce", "Ho", "Ho", "Se", "Se", "Se", "Se", "Se", "Se"], "frac_coords": [[0.000, 0.000, 0.000], [0.161, 0.839, 0.500], [0.500, 0.500, 0.500], [0.839, 0.161, 0.500], [0.332, 0.668, 0.000], [0.668, 0.332, 0.000], [0.082, 0.427, 0.245], [0.266, 0.266, 0.761], [0.427, 0.082, 0.245], [0.573, 0.918, 0.755], [0.734, 0.734, 0.239], [0.918, 0.573, 0.755]], "rho_g_cm3": 7.33, "energy_ev_per_atom": -6.219, "dos_ef_per_ev_fu": 19.583, "space_group": "C2/m (12)", "e_form_raw_mev_per_atom": -1819, "vol_a3_per_cell": 309}


Entry 3:
{"formula": "Sr3Ce2ZrAs6", "functional": "PBE", "state": "optimized geometry", "lattice_angstrom": [[3.672, -6.362, 0.000], [3.672, 6.362, 0.000], [-2.453, 0.000, 7.108]], "species": ["Sr", "Sr", "Sr", "Ce", "Ce", "Zr", "As", "As", "As", "As", "As", "As"], "frac_coords": [[0.000, 0.000, 0.000], [0.332, 0.668, 0.000], [0.668, 0.332, 0.000], [0.166, 0.834, 0.500], [0.834, 0.166, 0.500], [0.500, 0.500, 0.500], [0.106, 0.428, 0.283], [0.251, 0.251, 0.717], [0.428, 0.106, 0.283], [0.572, 0.894, 0.717], [0.749, 0.749, 0.283], [0.894, 0.572, 0.717]], "rho_g_cm3": 5.42, "energy_ev_per_atom": -5.692, "space_group": "C2/m (12)", "e_form_ev_per_atom": -1.245, "vol_a3_per_cell": 332}


Entry 4:
{"formula": "Sr4MgU3P8", "functional": "PBE", "state": "optimized geometry", "lattice_angstrom": [[4.100, 2.367, 6.899], [-4.100, 2.367, 6.899], [0.000, -4.734, 6.899]], "species": ["Sr", "Sr", "Sr", "Sr", "Mg", "U", "U", "U", "P", "P", "P", "P", "P", "P", "P", "P"], "frac_coords": [[0.000, 0.000, 0.000], [0.000, 0.500, 0.500], [0.500, 0.000, 0.500], [0.500, 0.500, 0.000], [0.500, 0.500, 0.500], [0.000, 0.000, 0.500], [0.000, 0.500, 0.000], [0.500, 0.000, 0.000], [0.228, 0.741, 0.741], [0.237, 0.237, 0.237], [0.259, 0.259, 0.772], [0.259, 0.772, 0.259], [0.741, 0.228, 0.741], [0.741, 0.741, 0.228], [0.763, 0.763, 0.763], [0.772, 0.259, 0.259]], "rho_g_cm3": 5.52, "energy_ev_per_atom": -6.291, "dos_ef_per_ev_fu": 19.152, "space_group": "R-3m (166)", "e_form_ev_per_atom": -0.950, "vol_a3_per_cell": 402}


Entry 5:
{"formula": "Na3GaGe", "functional": "PBE", "state": "optimized geometry", "lattice_angstrom": [[5.564, 0.000, 0.000], [0.000, 5.564, 0.000], [0.000, 0.000, 5.564]], "species": ["Na", "Na", "Na", "Ga", "Ge"], "frac_coords": [[0.000, 0.000, 0.500], [0.000, 0.500, 0.000], [0.500, 0.000, 0.000], [0.500, 0.500, 0.500], [0.000, 0.000, 0.000]], "rho_g_cm3": 2.04, "energy_ev_per_atom": -2.014, "dos_ef_per_ev_fu": 2.138, "space_group": "Pm-3m (221)", "e_form_ev_per_atom": 0.306, "vol_a3_per_cell": 172}


Entry 6:
{"formula": "PmNd2Sm5Mg", "functional": "PBE", "state": "optimized geometry", "lattice_angstrom": [[2.783, -10.152, 0.000], [2.783, 10.152, 0.000], [0.000, 0.000, 10.762]], "species": ["Pm", "Pm", "Nd", "Nd", "Nd", "Nd", "Sm", "Sm", "Sm", "Sm", "Sm", "Sm", "Sm", "Sm", "Sm", "Sm", "Mg", "Mg"], "frac_coords": [[0.202, 0.798, 0.500], [0.798, 0.202, 0.000], [0.115, 0.885, 0.210], [0.115, 0.885, 0.790], [0.885, 0.115, 0.290], [0.885, 0.115, 0.710], [0.014, 0.986, 0.500], [0.289, 0.711, 0.198], [0.289, 0.711, 0.801], [0.382, 0.618, 0.500], [0.499, 0.501, 0.249], [0.501, 0.499, 0.749], [0.618, 0.382, 0.000], [0.711, 0.289, 0.301], [0.711, 0.289, 0.698], [0.986, 0.014, 0.000], [0.406, 0.594, 0.998], [0.594, 0.406, 0.498]], "rho_g_cm3": 6.61, "energy_ev_per_atom": -4.297, "dos_ef_per_ev_fu": 13.098, "space_group": "Cmc2_1 (36)", "e_form_ev_per_atom": 0.090, "vol_a3_per_cell": 608}